*a*
First-principles (PBE) data for a relaxed BaFeTeI2 crystal, as listed in Alexandria.

The value obtained for the total magnetization is 6.03 Bohr magnetons per cell. As for the mass density: 3.1 g/cm3.

```
BaFeTeI2
1.0
6.715 0.000 0.000
0.000 6.715 0.000
0.000 0.000 6.879
Ba Fe Te I
1 1 1 2
Cartesian
0.000 0.000 0.000
3.358 3.358 3.439
0.000 0.000 3.439
0.000 3.358 0.000
3.358 0.000 0.000
```

***

*b*
First-principles (PBE) data for a relaxed BaFeTeI2 crystal, as listed in Alexandria.

The value obtained for the total magnetization is 3.53 Bohr magnetons per cell. As for the mass density: 5.6 g/cm3.

```
BaFeTeI2
1.0
5.630 0.000 0.000
0.000 5.630 0.000
0.000 0.000 5.383
Ba Fe Te I
1 1 1 2
Cartesian
0.000 0.000 0.000
2.815 2.815 2.691
2.815 2.815 0.000
0.000 2.815 2.691
2.815 0.000 2.691
```

***

It is *b* that is the most stable of them.

***

*a*
First-principles (PBE) data for a relaxed BaInFe3 crystal, as listed in Alexandria.

The value obtained for the total magnetization is 7.83 Bohr magnetons per cell. As for the mass density: 5.5 g/cm3.

```
BaInFe3
1.0
5.026 0.000 0.000
0.000 5.026 0.000
0.000 0.000 5.026
Ba In Fe
1 1 3
Cartesian
0.000 0.000 0.000
2.513 2.513 2.513
0.000 0.000 2.513
0.000 2.513 0.000
2.513 0.000 0.000
```

***

*b*
First-principles (PBE) data for a relaxed BaInFe3 crystal, as listed in Alexandria.

The value obtained for the total magnetization is 8.54 Bohr magnetons per cell. As for the mass density: 5.4 g/cm3.

```
BaInFe3
1.0
5.040 0.000 0.000
0.000 5.040 0.000
0.000 0.000 5.040
Ba In Fe
1 1 3
Cartesian
0.000 0.000 0.000
2.520 2.520 2.520
0.000 2.520 2.520
2.520 0.000 2.520
2.520 2.520 0.000
```

***

It is *b* that is the most stable of them.

***

*a*
First-principles (PBE) data for a relaxed KBaFe crystal, as listed in Alexandria.

The value obtained for the total magnetization is 2.55 Bohr magnetons per cell. As for the mass density: 3.0 g/cm3.

```
KBaFe
1.0
0.000 2.863 8.091
2.757 0.000 8.091
2.757 2.863 0.000
K Ba Fe
1 1 1
Cartesian
0.000 0.000 0.000
2.757 2.863 4.147
2.757 2.863 10.400
```

***

*b*
First-principles (PBE) data for a relaxed KBaFe crystal, as listed in Alexandria.

The value obtained for the total magnetization is 2.68 Bohr magnetons per cell. As for the mass density: 2.8 g/cm3.

```
KBaFe
1.0
4.298 0.000 0.000
-2.149 3.722 0.000
0.000 0.000 8.504
K Ba Fe
1 1 1
Cartesian
0.000 0.000 0.000
2.149 1.241 4.087
0.000 2.482 6.114
```

***

*c*
First-principles (PBE) data for a relaxed KBaFe crystal, as listed in Alexandria.

The value obtained for the total magnetization is 2.90 Bohr magnetons per cell. As for the mass density: 2.9 g/cm3.

```
KBaFe
1.0
0.000 4.040 4.040
4.040 0.000 4.040
4.040 4.040 0.000
K Ba Fe
1 1 1
Cartesian
0.000 0.000 0.000
4.040 4.040 4.040
6.060 6.060 6.060
```

***

It is *a* that is the most stable of them.